Entry 1:
The following is a SCAN calculation of a PBEsol-optimized structure of Ta5W3, from Alexandria via LeMat-Bulk.

a b c (Å): 4.5689 5.5782 5.5782
angles (deg): 109.53 90.00 90.00
Closest atoms and distances in Å follow each position.
Positions (direct):
Ta1 0.0000 0.0000 0.0000  8 Ta 2.79-2.81
Ta2 0.0000 0.5000 0.0000  6 W 2.79, 2 Ta 2.79
Ta3 0.0000 0.0000 0.5000  2 Ta 2.79, 6 W 2.79
Ta4 0.5000 0.7461 0.7461  6 W 2.78-2.79, 2 Ta 2.81
Ta5 0.5000 0.2539 0.2539  6 W 2.78-2.79, 2 Ta 2.81
W1 0.0000 0.5000 0.5000  8 Ta 2.78-2.79
W2 0.5000 0.7513 0.2487  8 Ta 2.78-2.79
W3 0.5000 0.2487 0.7513  8 Ta 2.78-2.79

Output
- calculated volume (Å³/f.u.) = 134
- formation energy (eV/atom) = -0.07
- magnetization (μB/f.u.) = 0.00
- relative energy among the computed polymorphs (meV/atom) = 0

Entry 2:
The following is a SCAN calculation of a PBEsol-optimized structure of TaW2, from Alexandria via LeMat-Bulk.

a b c (Å): 2.7671 4.5007 4.5007
angles (deg): 120.00 90.00 90.00
Closest atoms and distances in Å follow each position.
Positions (direct):
W1 0.6604 0.6667 0.3333  5 W 2.75-2.77, 3 Ta 2.76
W2 0.3396 0.3333 0.6667  5 W 2.75-2.77, 3 Ta 2.76
Ta1 0.0000 0.0000 0.0000  6 W 2.76, 2 Ta 2.77

Output
- calculated volume (Å³/f.u.) = 49
- formation energy (eV/atom) = -0.09
- magnetization (μB/f.u.) = 0.00

Question: Which formula does entry 1 have?
Answer: Ta5W3

Question: Which of these has the lowest formation energy?
Answer: TaW2

Copy entry 1 word for word.
The following is a SCAN calculation of a PBEsol-optimized structure of Ta5W3, from Alexandria via LeMat-Bulk.

a b c (Å): 4.5689 5.5782 5.5782
angles (deg): 109.53 90.00 90.00
Closest atoms and distances in Å follow each position.
Positions (direct):
Ta1 0.0000 0.0000 0.0000  8 Ta 2.79-2.81
Ta2 0.0000 0.5000 0.0000  6 W 2.79, 2 Ta 2.79
Ta3 0.0000 0.0000 0.5000  2 Ta 2.79, 6 W 2.79
Ta4 0.5000 0.7461 0.7461  6 W 2.78-2.79, 2 Ta 2.81
Ta5 0.5000 0.2539 0.2539  6 W 2.78-2.79, 2 Ta 2.81
W1 0.0000 0.5000 0.5000  8 Ta 2.78-2.79
W2 0.5000 0.7513 0.2487  8 Ta 2.78-2.79
W3 0.5000 0.2487 0.7513  8 Ta 2.78-2.79

Output
- calculated volume (Å³/f.u.) = 134
- formation energy (eV/atom) = -0.07
- magnetization (μB/f.u.) = 0.00
- relative energy among the computed polymorphs (meV/atom) = 0